No. 1
Material: BeNbSbTe2
Method: DFT, GGA-PBEsol
State: optimized geometry

Values from the calculation:
DOS at the Fermi energy = 3.806 states/eV per cell
E = -4.5033 eV/atom
Formation energy from raw total energies = 783 meV per atom

Cell: 5.305 5.305 5.385 Å, 90.00 90.00 90.00°
Space group P4/mmm (No. 123)
Unique sites:
Be  0.000  0.000  0.000 [1 per cell]
Nb  0.500  0.500  0.500 [1 per cell]
Sb  0.500  0.500  0.000 [1 per cell]
Te  0.000  0.500  0.500 [2 per cell]

***

No. 2
Material: TiBeNb2Sb
Method: DFT, GGA-PBEsol
State: optimized geometry

Values from the calculation:
DOS at the Fermi energy = 6.645 states/eV per cell
E = -6.0344 eV/atom
Formation energy from raw total energies = 1670 meV per atom

Cell: 4.995 4.995 4.840 Å, 90.00 90.00 90.00°
Space group P4/mmm (No. 123)
Unique sites:
Ti  0.000  0.000  0.000 [1 per cell]
Be  0.500  0.500  0.000 [1 per cell]
Nb  0.000  0.500  0.500 [2 per cell]
Sb  0.000  0.000  0.500 [1 per cell]

***

No. 3
Material: ScBe3Nb
Method: DFT, GGA-PBEsol
State: optimized geometry

Values from the calculation:
DOS at the Fermi energy = 4.210 states/eV per cell
E = -4.9001 eV/atom
E_form = 95.1 kJ/mol of atoms

Cell: 4.353 4.353 4.353 Å, 90.00 90.00 90.00°
Space group Pm-3m (No. 221)
Unique sites:
Sc  0.000  0.000  0.000 [1 per cell]
Be  0.000  0.500  0.500 [3 per cell]
Nb  0.500  0.500  0.500 [1 per cell]

***

No. 4
Material: Be2NbSe
Method: DFT, GGA-PBEsol
State: optimized geometry

Values from the calculation:
DOS at the Fermi energy = 9.095 states/eV per cell
E = -5.4022 eV/atom
Formation energy from raw total energies = 266 meV per atom

Cell: 6.518 6.518 5.175 Å, 90.00 90.00 90.00°
Space group I-42d (No. 122)
Unique sites:
Be  0.211  0.250  0.125 [8 per cell]
Nb  0.000  0.000  0.500 [4 per cell]
Se  0.000  0.000  0.000 [4 per cell]

***

No. 5
Material: BeNbSe2
Method: DFT, GGA-PBEsol
State: optimized geometry

Values from the calculation:
DOS at the Fermi energy = 11.914 states/eV per cell
E = -5.5645 eV/atom
Formation energy from raw total energies = 66 meV per atom

Cell: 3.1713 3.1713 23.8399 Å, 90.00 90.00 120.00°
Space group R-3m (No. 166, hexagonal axes)
Unique sites:
Be  0.0000  0.0000  0.0000 [3 per cell]
Nb  0.0000  0.0000  0.5000 [3 per cell]
Se  0.0000  0.0000  0.3931 [6 per cell]

***

No. 6
Material: BeNb2ZnSe
Method: DFT, GGA-PBEsol
State: optimized geometry

Values from the calculation:
DOS at the Fermi energy = 4.928 states/eV per cell
E = -5.7790 eV/atom
Formation energy from raw total energies = 436 meV per atom

Cell: 4.556 4.556 3.813 Å, 90.00 90.00 90.00°
Space group P4/mmm (No. 123)
Unique sites:
Be  0.000  0.000  0.000 [1 per cell]
Nb  0.000  0.500  0.000 [2 per cell]
Zn  0.000  0.000  0.500 [1 per cell]
Se  0.500  0.500  0.500 [1 per cell]

***

No. 7
Material: Be2Nb2Tc
Method: DFT, GGA-PBEsol
State: optimized geometry

Values from the calculation:
DOS at the Fermi energy = 4.866 states/eV per cell
E = -8.4660 eV/atom
E_form = -27.4 kJ/mol of atoms

Cell: 6.294 6.294 3.277 Å, 90.00 90.00 90.00°
Space group P4/mbm (No. 127)
Unique sites:
Be  0.118  0.382  0.000 [4 per cell]
Nb  0.179  0.679  0.500 [4 per cell]
Tc  0.000  0.000  0.000 [2 per cell]

***

No. 8
Material: TiBe2Nb2
Method: DFT, GGA-PBEsol
State: optimized geometry

Values from the calculation:
DOS at the Fermi energy = 14.006 states/eV per cell
E = -7.6711 eV/atom
E_form = -7.5 kJ/mol of atoms

Cell: 6.435 6.435 3.324 Å, 90.00 90.00 90.00°
Space group P4/mbm (No. 127)
Unique sites:
Ti  0.000  0.000  0.000 [2 per cell]
Be  0.116  0.384  0.000 [4 per cell]
Nb  0.177  0.677  0.500 [4 per cell]

***

No. 9
Material: BeNb3Tl
Method: DFT, GGA-PBEsol
State: optimized geometry

Values from the calculation:
DOS at the Fermi energy = 5.973 states/eV per cell
E = -5.3984 eV/atom
E_form = 233.5 kJ/mol of atoms

Cell: 5.026 5.026 5.026 Å, 90.00 90.00 90.00°
Space group Pm-3m (No. 221)
Unique sites:
Be  0.000  0.000  0.000 [1 per cell]
Nb  0.000  0.500  0.500 [3 per cell]
Tl  0.500  0.500  0.500 [1 per cell]

***

No. 10
Material: YBeNb2Tl
Method: DFT, GGA-PBEsol
State: optimized geometry

Values from the calculation:
DOS at the Fermi energy = 6.835 states/eV per cell
E = -5.0883 eV/atom
E_form = 186.3 kJ/mol of atoms

Cell: 5.119 5.119 5.418 Å, 90.00 90.00 90.00°
Space group P4/mmm (No. 123)
Unique sites:
Y  0.000  0.000  0.000 [1 per cell]
Be  0.500  0.500  0.000 [1 per cell]
Nb  0.000  0.500  0.500 [2 per cell]
Tl  0.000  0.000  0.500 [1 per cell]

***

No. 11
Material: Be2NbW2
Method: DFT, GGA-PBEsol
State: optimized geometry

Values from the calculation:
DOS at the Fermi energy = 3.465 states/eV per cell
E = -9.4323 eV/atom
E_form = -14.0 kJ/mol of atoms

Cell: 6.288 6.288 3.228 Å, 90.00 90.00 90.00°
Space group P4/mbm (No. 127)
Unique sites:
Be  0.115  0.385  0.000 [4 per cell]
Nb  0.000  0.000  0.000 [2 per cell]
W  0.176  0.676  0.500 [4 per cell]

***

No. 12
Material: BeNb2Zn2
Method: DFT, GGA-PBEsol
State: optimized geometry

Values from the calculation:
DOS at the Fermi energy = 8.428 states/eV per cell
E = -5.2660 eV/atom
E_form = 47.8 kJ/mol of atoms

Cell: 3.411 3.411 13.656 Å, 90.00 90.00 90.00°
Space group I4/mmm (No. 139)
Unique sites:
Be  0.000  0.000  0.000 [2 per cell]
Nb  0.000  0.000  0.414 [4 per cell]
Zn  0.000  0.500  0.250 [4 per cell]

***

No. 13
Material: BeNb2Zn
Method: DFT, GGA-PBEsol
State: optimized geometry

Values from the calculation:
DOS at the Fermi energy = 17.349 states/eV per cell
E = -6.6644 eV/atom
E_form = 13.7 kJ/mol of atoms

Cell: 6.156 6.156 6.156 Å, 90.00 90.00 90.00°
Space group Fm-3m (No. 225)
Unique sites:
Be  0.000  0.000  0.000 [4 per cell]
Nb  0.250  0.250  0.250 [8 per cell]
Zn  0.000  0.000  0.500 [4 per cell]

***

No. 14
Material: ZrBeNb3
Method: DFT, GGA-PBEsol
State: optimized geometry

Values from the calculation:
DOS at the Fermi energy = 5.687 states/eV per cell
E = -8.5885 eV/atom
E_form = 50.4 kJ/mol of atoms

Cell: 4.483 4.483 4.483 Å, 90.00 90.00 90.00°
Space group Pm-3m (No. 221)
Unique sites:
Zr  0.000  0.000  0.000 [1 per cell]
Be  0.500  0.500  0.500 [1 per cell]
Nb  0.000  0.500  0.500 [3 per cell]

***

No. 15
Material: Be7Ni
Method: DFT, GGA-PBEsol
State: optimized geometry

Values from the calculation:
DOS at the Fermi energy = 10.345 states/eV per cell
E = -4.3760 eV/atom
E_form = -10.3 kJ/mol of atoms

Cell: 6.386 6.386 6.386 Å, 90.00 90.00 90.00°
Space group Fm-3m (No. 225)
Unique sites:
Be  0.000  0.000  0.000 [4 per cell]
Be  0.000  0.250  0.250 [24 per cell]
Ni  0.000  0.000  0.500 [4 per cell]

***

No. 16
Material: Be8Ni
Method: DFT, GGA-PBEsol
State: optimized geometry

Values from the calculation:
DOS at the Fermi energy = 4.048 states/eV per cell
E = -4.3411 eV/atom
E_form = -9.8 kJ/mol of atoms

Cell: 6.784 6.784 3.155 Å, 90.00 90.00 90.00°
Space group I4/mmm (No. 139)
Unique sites:
Be  0.000  0.336  0.000 [8 per cell]
Be  0.168  0.168  0.500 [8 per cell]
Ni  0.000  0.000  0.000 [2 per cell]

***

No. 17
Material: BeNi3
Method: DFT, GGA-PBEsol
State: optimized geometry

Values from the calculation:
DOS at the Fermi energy = 5.459 states/eV per cell
E = -5.7793 eV/atom
E_form = -15.6 kJ/mol of atoms

Cell: 2.450 3.195 4.940 Å, 90.00 90.00 90.00°
Space group Pmmm (No. 47)
Unique sites:
Be  0.000  0.000  0.000 [1 per cell]
Ni  0.000  0.000  0.500 [1 per cell]
Ni  0.500  0.500  0.237 [2 per cell]

***

No. 18
Material: Be3Ni
Method: DFT, GGA-PBEsol
State: optimized geometry

Values from the calculation:
DOS at the Fermi energy = 6.000 states/eV per cell
E = -4.8155 eV/atom
E_form = -26.6 kJ/mol of atoms

Cell: 3.200 3.200 12.954 Å, 90.00 90.00 90.00°
Space group I4/mmm (No. 139)
Unique sites:
Be  0.000  0.000  0.126 [4 per cell]
Be  0.000  0.500  0.000 [4 per cell]
Be  0.000  0.500  0.250 [4 per cell]
Ni  0.000  0.000  0.376 [4 per cell]

***

No. 19
Material: Be3Ni
Method: DFT, GGA-PBEsol
State: optimized geometry

Values from the calculation:
DOS at the Fermi energy = 4.597 states/eV per cell
E = -4.8316 eV/atom
E_form = -28.2 kJ/mol of atoms

Cell: 4.834 7.533 3.628 Å, 90.00 90.00 90.00°
Space group Cmcm (No. 63)
Unique sites:
Be  0.000  0.166  0.250 [4 per cell]
Be  0.234  0.097  0.750 [8 per cell]
Ni  0.000  0.358  0.750 [4 per cell]

***

No. 20
Material: Be3Ni
Method: DFT, GGA-PBEsol
State: optimized geometry

Values from the calculation:
DOS at the Fermi energy = 7.009 states/eV per cell
E = -4.5594 eV/atom
E_form = -1.9 kJ/mol of atoms

Cell: 2.3494 2.3494 22.0115 Å, 90.00 90.00 120.00°
Space group R-3m (No. 166, hexagonal axes)
Unique sites:
Be  0.0000  0.0000  0.0000 [3 per cell]
Be  0.0000  0.0000  0.2494 [6 per cell]
Ni  0.0000  0.0000  0.5000 [3 per cell]

***

No. 21
Material: BeNi3
Method: DFT, GGA-PBEsol
State: optimized geometry

Values from the calculation:
DOS at the Fermi energy = 14.264 states/eV per cell
E = -5.7966 eV/atom
E_form = -17.2 kJ/mol of atoms

Cell: 4.633 7.177 4.632 Å, 90.00 90.00 90.00°
Space group Pnma (No. 62)
Unique sites:
Be  0.008  0.250  0.007 [4 per cell]
Ni  0.003  0.250  0.507 [4 per cell]
Ni  0.200  0.502  0.800 [8 per cell]

***

No. 22
Material: BeNi3
Method: DFT, GGA-PBEsol
State: optimized geometry

Values from the calculation:
DOS at the Fermi energy = 28.391 states/eV per cell
E = -5.7883 eV/atom
E_form = -16.4 kJ/mol of atoms

Cell: 4.828 11.714 4.112 Å, 90.00 90.00 90.00°
Space group Pmmn (No. 59, origin choice 2)
Unique sites:
Be  0.250  0.082  0.170 [4 per cell]
Be  0.250  0.750  0.489 [2 per cell]
Ni  0.000  0.250  0.015 [4 per cell]
Ni  0.001  0.084  0.669 [8 per cell]
Ni  0.250  0.250  0.508 [2 per cell]
Ni  0.250  0.583  0.830 [4 per cell]

***

No. 23
Material: Be3Ni
Method: DFT, GGA-PBEsol
State: optimized geometry

Values from the calculation:
DOS at the Fermi energy = 1.179 states/eV per cell
E = -4.8115 eV/atom
E_form = -26.3 kJ/mol of atoms

Cell: 3.215 3.215 3.215 Å, 90.00 90.00 90.00°
Space group Pm-3m (No. 221)
Unique sites:
Be  0.000  0.000  0.500 [3 per cell]
Ni  0.500  0.500  0.500 [1 per cell]

***

No. 24
Material: Be3Ni
Method: DFT, GGA-PBEsol
State: optimized geometry

Values from the calculation:
DOS at the Fermi energy = 2.162 states/eV per cell
E = -4.8321 eV/atom
E_form = -28.2 kJ/mol of atoms

Cell: 4.5697 4.5697 3.6660 Å, 90.00 90.00 120.00°
Space group P6_3/mmc (No. 194)
Unique sites:
Be  0.1664  0.3328  0.2500 [6 per cell]
Ni  0.3333  0.6667  0.7500 [2 per cell]

***

No. 25
Material: Be3Ni5
Method: DFT, GGA-PBEsol
State: optimized geometry

Values from the calculation:
DOS at the Fermi energy = 9.066 states/eV per cell
E = -5.6706 eV/atom
E_form = -31.1 kJ/mol of atoms

Cell: 5.407 7.414 3.660 Å, 90.00 90.00 90.00°
Space group Cmmm (No. 65)
Unique sites:
Be  0.000  0.000  0.000 [2 per cell]
Be  0.000  0.264  0.500 [4 per cell]
Ni  0.000  0.500  0.000 [2 per cell]
Ni  0.229  0.000  0.500 [4 per cell]
Ni  0.250  0.250  0.000 [4 per cell]